Record 1
{"formula": "NaLi3Bi", "functional": "GGA-PBE", "state": "relaxed", "rho_g_cm3": 2.89, "ef_ev_per_atom": -0.223, "lattice_angstrom": [[7.740, 0.000, 0.000], [-3.870, 6.703, 0.000], [0.000, 0.000, 8.391]], "species": ["Na", "Na", "Na", "Li", "Li", "Li", "Li", "Li", "Li", "Li", "Li", "Li", "Bi", "Bi", "Bi"], "fractional_positions": [[0.000, 0.000, 0.000], [0.333, 0.667, 0.667], [0.667, 0.333, 0.333], [0.058, 0.529, 0.037], [0.137, 0.275, 0.370], [0.137, 0.863, 0.370], [0.392, 0.196, 0.703], [0.471, 0.529, 0.037], [0.471, 0.942, 0.037], [0.725, 0.863, 0.370], [0.804, 0.196, 0.703], [0.804, 0.608, 0.703], [0.000, 0.000, 0.615], [0.333, 0.667, 0.281], [0.667, 0.333, 0.948]]}

***

Record 2
{"formula": "CaEuRh", "functional": "GGA-PBE", "state": "relaxed", "rho_g_cm3": 5.72, "ef_ev_per_atom": -0.266, "lattice_angstrom": [[6.995, 0.000, 0.000], [0.000, 6.995, 0.000], [0.000, 0.000, 6.995]], "species": ["Ca", "Ca", "Ca", "Ca", "Eu", "Eu", "Eu", "Eu", "Rh", "Rh", "Rh", "Rh"], "fractional_positions": [[0.000, 0.000, 0.000], [0.000, 0.500, 0.500], [0.500, 0.000, 0.500], [0.500, 0.500, 0.000], [0.000, 0.000, 0.500], [0.000, 0.500, 0.000], [0.500, 0.000, 0.000], [0.500, 0.500, 0.500], [0.250, 0.250, 0.750], [0.250, 0.750, 0.250], [0.750, 0.250, 0.250], [0.750, 0.750, 0.750]]}

***

Record 3
{"formula": "SmP2Ru4", "functional": "GGA-PBE", "state": "relaxed", "rho_g_cm3": 9.42, "ef_ev_per_atom": -0.633, "lattice_angstrom": [[4.033, 0.000, 0.000], [0.000, 13.495, 0.000], [0.000, 0.000, 3.992]], "species": ["Sm", "Sm", "P", "P", "P", "P", "Ru", "Ru", "Ru", "Ru", "Ru", "Ru", "Ru", "Ru"], "fractional_positions": [[0.000, 0.000, 0.000], [0.500, 0.500, 0.000], [0.000, 0.410, 0.500], [0.000, 0.590, 0.500], [0.500, 0.090, 0.500], [0.500, 0.910, 0.500], [0.000, 0.179, 0.500], [0.000, 0.317, 0.000], [0.000, 0.683, 0.000], [0.000, 0.821, 0.500], [0.500, 0.183, 0.000], [0.500, 0.321, 0.500], [0.500, 0.679, 0.500], [0.500, 0.817, 0.000]]}